The following is a PBE calculation of an optimized crystal structure of NdYIn4, from the Alexandria database.

abc: 4.7273 6.3446 6.3446
angles: 71.65 68.13 68.13
Last column: nearest neighbours and their distance in Å.
Fractional coordinates of all 6 atoms:
In 0.8425 0.8672 0.4478  4 In 2.89-3.12
In 0.1600 0.0442 0.6358  4 In 2.89-3.03
In 0.8425 0.4478 0.8672  4 In 2.89-3.12
In 0.1600 0.6358 0.0442  4 In 2.89-3.03
Y 0.4402 0.0598 0.0598  10 In 3.32-3.45
Nd 0.5547 0.4453 0.4453  10 In 3.37-3.43

Summary:
crystal system = orthorhombic
magnetic moment = 0.000 μB per cell
energy above the most stable polymorph in this dataset = 0.000 eV/f.u.
density of states at the Fermi level = 4.054 states/eV/f.u.


The following is a PBE calculation of an optimized crystal structure of NdY2In, from the Alexandria database.

abc: 3.6031 3.6031 11.2291
angles: 80.77 80.77 60.00
Last column: nearest neighbours and their distance in Å.
Fractional coordinates of all 4 atoms:
Nd 0.5000 0.5000 0.5000  6 Nd 3.60, 6 Y 3.62
In 0.0000 0.0000 0.0000  6 Y 3.30, 6 In 3.60
Y 0.2561 0.2561 0.2317  3 In 3.30, 6 Y 3.60, 3 Nd 3.62
Y 0.7439 0.7439 0.7683  3 In 3.30, 6 Y 3.60, 3 Nd 3.62

Summary:
crystal system = trigonal
magnetic moment = 0.000 μB per cell
energy above the most stable polymorph in this dataset = 0.450 eV/f.u.
density of states at the Fermi level = 4.605 states/eV/f.u.


The following is a PBE calculation of an optimized crystal structure of Nd3YIn, from the Alexandria database.

abc: 4.9119 4.9186 13.2020
angles: 90.00 79.28 90.00
Last column: nearest neighbours and their distance in Å.
Fractional coordinates of all 10 atoms:
Y 0.1728 0.2500 0.3027  4 In 3.48, 8 Nd 3.51-3.56
Y 0.4755 0.7500 0.6973  4 In 3.48, 8 Nd 3.51-3.56
Nd 0.8772 0.7500 0.8939  8 Nd 3.48-3.72, 2 Y 3.54, 2 In 3.58
Nd 0.5734 0.2500 0.5016  4 Nd 3.48, 4 In 3.50-3.53, 4 Y 3.53-3.56
Nd 0.0750 0.7500 0.4984  4 Nd 3.48, 4 In 3.50-3.53, 4 Y 3.53-3.56
Nd 0.7711 0.2500 0.1061  8 Nd 3.48-3.72, 2 Y 3.54, 2 In 3.58
Nd 0.2696 0.7500 0.1092  8 Nd 3.48-3.75, 2 Y 3.51, 2 In 3.55
Nd 0.3788 0.2500 0.8908  8 Nd 3.48-3.75, 2 Y 3.51, 2 In 3.55
In 0.6710 0.7500 0.3065  4 Y 3.48, 8 Nd 3.50-3.58
In 0.9774 0.2500 0.6935  4 Y 3.48, 8 Nd 3.50-3.58

Summary:
crystal system = orthorhombic
magnetic moment = 0.000 μB per cell
energy above the most stable polymorph in this dataset = 0.000 eV/f.u.
density of states at the Fermi level = 6.051 states/eV/f.u.


The following is a PBE calculation of an optimized crystal structure of Nd4YIn4, from the Alexandria database.

abc: 6.2878 9.2508 9.2508
angles: 90.00 90.00 90.00
Last column: nearest neighbours and their distance in Å.
Fractional coordinates of all 18 atoms:
Nd 0.6312 0.8302 0.5731  1 Y 3.24, 5 In 3.26-3.52, 1 Nd 3.42
Nd 0.1312 0.9269 0.3302  1 Y 3.24, 5 In 3.26-3.52, 1 Nd 3.42
Nd 0.6312 0.1698 0.4269  1 Y 3.24, 5 In 3.26-3.52, 1 Nd 3.42
Nd 0.3688 0.5731 0.1698  1 Y 3.24, 5 In 3.26-3.52, 1 Nd 3.42
Nd 0.1312 0.0731 0.6698  1 Y 3.24, 5 In 3.26-3.52, 1 Nd 3.42
Nd 0.8688 0.3302 0.0731  1 Y 3.24, 5 In 3.26-3.52, 1 Nd 3.42
Nd 0.3688 0.4269 0.8302  1 Y 3.24, 5 In 3.26-3.52, 1 Nd 3.42
Nd 0.8688 0.6698 0.9269  1 Y 3.24, 5 In 3.26-3.52, 1 Nd 3.42
In 0.6179 0.9008 0.1998  1 Y 3.17, 5 Nd 3.26-3.52, 3 In 3.27-3.38
In 0.1179 0.3002 0.4008  1 Y 3.17, 5 Nd 3.26-3.52, 3 In 3.27-3.38
In 0.1179 0.6998 0.5992  1 Y 3.17, 5 Nd 3.26-3.52, 3 In 3.27-3.38
In 0.8821 0.4008 0.6998  1 Y 3.17, 5 Nd 3.26-3.52, 3 In 3.27-3.38
In 0.6179 0.0992 0.8002  1 Y 3.17, 5 Nd 3.26-3.52, 3 In 3.27-3.38
In 0.3821 0.1998 0.0992  1 Y 3.17, 5 Nd 3.26-3.52, 3 In 3.27-3.38
In 0.3821 0.8002 0.9008  1 Y 3.17, 5 Nd 3.26-3.52, 3 In 3.27-3.38
In 0.8821 0.5992 0.3002  1 Y 3.17, 5 Nd 3.26-3.52, 3 In 3.27-3.38
Y 0.0000 0.0000 0.0000  4 In 3.17, 4 Nd 3.24
Y 0.5000 0.5000 0.5000  4 In 3.17, 4 Nd 3.24

Summary:
E = -4.343 eV/atom
crystal system = tetragonal
magnetic moment = 0.001 μB per cell
density of states at the Fermi level = 7.766 states/eV/f.u.


The following is a PBE calculation of an optimized crystal structure of Nd8YIn2, from the Alexandria database.

abc: 5.9056 9.0581 9.0581
angles: 120.15 103.74 103.74
Last column: nearest neighbours and their distance in Å.
Fractional coordinates of all 11 atoms:
Nd 0.1324 0.0943 0.3258  2 In 3.30-3.43, 6 Nd 3.35-3.65
Nd 0.1324 0.3258 0.0943  2 In 3.30-3.43, 6 Nd 3.35-3.65
Nd 0.5000 0.7834 0.2166  2 In 3.27, 1 Y 3.40, 4 Nd 3.62-3.65
Nd 0.7079 0.4108 0.4108  1 Nd 3.03, 1 Y 3.31, 2 In 3.39
Nd 0.2921 0.5892 0.5892  1 Nd 3.03, 1 Y 3.31, 2 In 3.39
Nd 0.8676 0.6742 0.9057  2 In 3.30-3.43, 6 Nd 3.35-3.65
Nd 0.5000 0.2166 0.7834  2 In 3.27, 1 Y 3.40, 4 Nd 3.62-3.65
Nd 0.8676 0.9057 0.6742  2 In 3.30-3.43, 6 Nd 3.35-3.65
In 0.0000 0.3067 0.6933  8 Nd 3.27-3.43
In 0.0000 0.6933 0.3067  8 Nd 3.27-3.43
Y 0.5000 0.0000 0.0000  4 Nd 3.31-3.40

Summary:
E = -4.616 eV/atom
crystal system = monoclinic
magnetic moment = 0.000 μB per cell
density of states at the Fermi level = 14.577 states/eV/f.u.


The following is a PBE calculation of an optimized crystal structure of NdY12In3, from the Alexandria database.

abc: 4.8858 4.8858 19.9970
angles: 90.00 90.00 90.00
Last column: nearest neighbours and their distance in Å.
Fractional coordinates of all 16 atoms:
Y 0.5000 0.5000 0.5000  8 Y 3.45, 4 In 3.45
Y 0.0000 0.5000 0.1332  8 Y 3.45-3.61, 2 In 3.48, 2 Nd 3.61
Y 0.0000 0.5000 0.8668  8 Y 3.45-3.61, 2 In 3.48, 2 Nd 3.61
Y 0.5000 0.0000 0.8668  8 Y 3.45-3.61, 2 In 3.48, 2 Nd 3.61
Y 0.5000 0.0000 0.3780  4 In 3.43-3.45, 8 Y 3.44-3.45
Y 0.5000 0.5000 0.2571  8 Y 3.44-3.48, 4 In 3.45
Y 0.0000 0.5000 0.6220  4 In 3.43-3.45, 8 Y 3.44-3.45
Y 0.5000 0.0000 0.6220  4 In 3.43-3.45, 8 Y 3.44-3.45
Y 0.0000 0.5000 0.3780  4 In 3.43-3.45, 8 Y 3.44-3.45
Y 0.5000 0.5000 0.0000  4 Nd 3.45, 8 Y 3.61
Y 0.5000 0.5000 0.7429  8 Y 3.44-3.48, 4 In 3.45
Y 0.5000 0.0000 0.1332  8 Y 3.45-3.61, 2 In 3.48, 2 Nd 3.61
Nd 0.0000 0.0000 0.0000  12 Y 3.45-3.61
In 0.0000 0.0000 0.7427  12 Y 3.43-3.48
In 0.0000 0.0000 0.5000  12 Y 3.45
In 0.0000 0.0000 0.2573  12 Y 3.43-3.48

Summary:
E = -5.852 eV/atom
crystal system = tetragonal
magnetic moment = 0.067 μB per cell
density of states at the Fermi level = 21.445 states/eV/f.u.


The following is a PBE calculation of an optimized crystal structure of NdY3In2, from the Alexandria database.

abc: 5.4221 9.3025 9.2522
angles: 124.60 90.00 106.94
Last column: nearest neighbours and their distance in Å.
Fractional coordinates of all 12 atoms:
Y 0.3832 0.7663 0.3079  4 In 3.03-3.37
Y 0.3069 0.6139 0.6094  2 In 3.05-3.36, 2 Y 3.27
Y 0.6168 0.2337 0.6921  4 In 3.03-3.37
Y 0.6931 0.3861 0.3906  2 In 3.05-3.36, 2 Y 3.27
Y 0.0592 0.1183 0.4028  3 In 3.39-3.42, 6 Y 3.49-3.66, 1 Nd 3.72
Y 0.9408 0.8817 0.5972  3 In 3.39-3.42, 6 Y 3.49-3.66, 1 Nd 3.72
In 0.5192 0.0384 0.8706  1 In 2.85, 2 Y 3.03-3.05
In 0.2258 0.4516 0.8571  5 Y 3.15-3.42, 1 Nd 3.42, 2 In 3.52
In 0.7742 0.5484 0.1429  5 Y 3.15-3.42, 1 Nd 3.42, 2 In 3.52
In 0.4808 0.9616 0.1294  1 In 2.85, 2 Y 3.03-3.05
Nd 0.8691 0.7382 0.9115  5 In 3.26-3.55, 2 Y 3.57
Nd 0.1309 0.2618 0.0885  5 In 3.26-3.55, 2 Y 3.57

Summary:
crystal system = monoclinic
magnetic moment = 1.205 μB per cell
energy above the most stable polymorph in this dataset = 0.675 eV/f.u.
density of states at the Fermi level = 6.111 states/eV/f.u.


The following is a PBE calculation of an optimized crystal structure of NdY2In3, from the Alexandria database.

abc: 3.7807 3.7807 11.5309
angles: 90.00 90.00 90.00
Last column: nearest neighbours and their distance in Å.
Fractional coordinates of all 6 atoms:
In 0.0000 0.0000 0.0000  8 Y 3.26
In 0.0000 0.0000 0.6763  4 Y 3.26, 4 Nd 3.36
In 0.0000 0.0000 0.3237  4 Y 3.26, 4 Nd 3.36
Nd 0.5000 0.5000 0.5000  8 In 3.36
Y 0.5000 0.5000 0.8379  8 In 3.26
Y 0.5000 0.5000 0.1621  8 In 3.26

Summary:
crystal system = tetragonal
magnetic moment = 0.000 μB per cell
energy above the most stable polymorph in this dataset = 0.000 eV/f.u.
density of states at the Fermi level = 3.445 states/eV/f.u.


The following is a PBE calculation of an optimized crystal structure of Nd4YIn2, from the Alexandria database.

abc: 5.5612 9.2288 9.2288
angles: 90.00 90.00 90.00
Last column: nearest neighbours and their distance in Å.
Fractional coordinates of all 14 atoms:
Y 0.5000 0.0000 0.0000  2 In 3.13
Y 0.0000 0.5000 0.5000  2 In 3.13
Nd 0.0000 0.0771 0.3261  3 In 3.17-3.26, 2 Nd 3.25-3.51
Nd 0.5000 0.4229 0.8261  3 In 3.17-3.26, 2 Nd 3.25-3.51
Nd 0.0000 0.6739 0.9229  3 In 3.17-3.26, 2 Nd 3.25-3.51
Nd 0.5000 0.1739 0.5771  3 In 3.17-3.26, 2 Nd 3.25-3.51
Nd 0.0000 0.3261 0.0771  3 In 3.17-3.26, 2 Nd 3.25-3.51
Nd 0.0000 0.9229 0.6739  3 In 3.17-3.26, 2 Nd 3.25-3.51
Nd 0.5000 0.5771 0.1739  3 In 3.17-3.26, 2 Nd 3.25-3.51
Nd 0.5000 0.8261 0.4229  3 In 3.17-3.26, 2 Nd 3.25-3.51
In 0.0000 0.7397 0.2603  1 Y 3.13, 6 Nd 3.17-3.26
In 0.5000 0.2397 0.2397  1 Y 3.13, 6 Nd 3.17-3.26
In 0.5000 0.7603 0.7603  1 Y 3.13, 6 Nd 3.17-3.26
In 0.0000 0.2603 0.7397  1 Y 3.13, 6 Nd 3.17-3.26

Summary:
crystal system = tetragonal
magnetic moment = 0.000 μB per cell
energy above the most stable polymorph in this dataset = 0.000 eV/f.u.
density of states at the Fermi level = 6.753 states/eV/f.u.


The following is a PBE calculation of an optimized crystal structure of Nd2Y4In, from the Alexandria database.

abc: 5.6085 6.6916 11.9881
angles: 90.00 103.53 90.00
Last column: nearest neighbours and their distance in Å.
Fractional coordinates of all 14 atoms:
Nd 0.4864 0.2500 0.9732  4 Y 3.24-3.39, 2 In 3.32, 2 Nd 3.40
Nd 0.8011 0.7500 0.6034  9 Y 3.32-3.54
Nd 0.5136 0.7500 0.0268  4 Y 3.24-3.39, 2 In 3.32, 2 Nd 3.40
Nd 0.1989 0.2500 0.3966  9 Y 3.32-3.54
Y 0.3609 0.5032 0.7215  3 Y 3.30-3.57, 3 Nd 3.39-3.54, 2 In 3.48
Y 0.2237 0.7500 0.4495  1 In 3.15, 4 Nd 3.33-3.40
Y 0.3609 0.9968 0.7215  3 Y 3.30-3.57, 3 Nd 3.39-3.54, 2 In 3.48
Y 0.7763 0.2500 0.5505  1 In 3.15, 4 Nd 3.33-3.40
Y 0.0557 0.2500 0.1119  3 Nd 3.24-3.32, 3 In 3.39-3.44
Y 0.6391 0.0032 0.2785  3 Y 3.30-3.57, 3 Nd 3.39-3.54, 2 In 3.48
Y 0.9443 0.7500 0.8881  3 Nd 3.24-3.32, 3 In 3.39-3.44
Y 0.6391 0.4968 0.2785  3 Y 3.30-3.57, 3 Nd 3.39-3.54, 2 In 3.48
In 0.9106 0.2500 0.8210  8 Y 3.15-3.48, 2 Nd 3.32
In 0.0894 0.7500 0.1790  8 Y 3.15-3.48, 2 Nd 3.32

Summary:
crystal system = monoclinic
magnetic moment = 0.000 μB per cell
energy above the most stable polymorph in this dataset = 0.114 eV/f.u.
density of states at the Fermi level = 9.276 states/eV/f.u.


The following is a PBE calculation of an optimized crystal structure of NdY2In, from the Alexandria database.

abc: 4.8782 4.7390 11.3005
angles: 102.22 90.00 90.00
Last column: nearest neighbours and their distance in Å.
Fractional coordinates of all 8 atoms:
In 0.2500 0.1628 0.3228  5 Nd 3.21-3.48, 4 Y 3.23-3.28
In 0.7500 0.8372 0.6772  5 Nd 3.21-3.48, 4 Y 3.23-3.28
Y 0.7500 0.0658 0.1311  2 In 3.23, 4 Y 3.40
Y 0.7500 0.4412 0.8827  2 In 3.28, 8 Y 3.40-3.63
Y 0.2500 0.5588 0.1173  2 In 3.28, 8 Y 3.40-3.63
Y 0.2500 0.9342 0.8689  2 In 3.23, 4 Y 3.40
Nd 0.2500 0.3060 0.6135  5 In 3.21-3.48
Nd 0.7500 0.6940 0.3865  5 In 3.21-3.48

Summary:
crystal system = monoclinic
magnetic moment = 0.000 μB per cell
energy above the most stable polymorph in this dataset = 0.267 eV/f.u.
density of states at the Fermi level = 4.748 states/eV/f.u.


The following is a PBE calculation of an optimized crystal structure of NdY2In3, from the Alexandria database.

abc: 6.5010 6.5515 8.6840
angles: 102.29 111.98 90.00
Last column: nearest neighbours and their distance in Å.
Fractional coordinates of all 12 atoms:
Nd 0.1265 0.2500 0.0000  6 In 3.25-3.37, 2 Y 3.51
Nd 0.8735 0.7500 0.0000  6 In 3.25-3.37, 2 Y 3.51
Y 0.4478 0.4149 0.6611  6 In 3.11-3.47
Y 0.2133 0.9149 0.6611  6 In 3.11-3.47
Y 0.5522 0.5851 0.3389  6 In 3.11-3.47
Y 0.7867 0.0851 0.3389  6 In 3.11-3.47
In 0.9540 0.4502 0.6635  4 Y 3.11-3.33, 2 Nd 3.27-3.37, 2 In 3.30-3.38
In 0.6259 0.2500 0.0000  4 Y 3.16-3.47, 2 Nd 3.25, 2 In 3.38
In 0.0460 0.5498 0.3365  4 Y 3.11-3.33, 2 Nd 3.27-3.37, 2 In 3.30-3.38
In 0.3741 0.7500 0.0000  4 Y 3.16-3.47, 2 Nd 3.25, 2 In 3.38
In 0.7094 0.9502 0.6635  4 Y 3.11-3.33, 2 Nd 3.27-3.37, 2 In 3.30-3.38
In 0.2906 0.0498 0.3365  4 Y 3.11-3.33, 2 Nd 3.27-3.37, 2 In 3.30-3.38

Summary:
crystal system = monoclinic
magnetic moment = 0.000 μB per cell
energy above the most stable polymorph in this dataset = 0.352 eV/f.u.
density of states at the Fermi level = 3.603 states/eV/f.u.